1.
## SnI3Cl (PBE-GGA)

Data for crystalline SnI3Cl at its relaxed geometry.

## Properties
- E above lowest polymorph (meV/atom) = 857

abc: 5.7690 5.7690 5.7690
angles: 90.00 90.00 90.00
Fractional coordinates of all 5 atoms:
Sn 0.0000 0.0000 0.0000
I 0.0000 0.5000 0.5000
I 0.5000 0.0000 0.5000
I 0.5000 0.5000 0.0000
Cl 0.5000 0.5000 0.5000

***

2.
## SnI3Cl (PBE-GGA)

Data for crystalline SnI3Cl at its relaxed geometry.

## Properties
- E above lowest polymorph (meV/atom) = 0

abc: 6.9421 7.5830 10.9167
angles: 89.87 89.84 89.81
Fractional coordinates of all 10 atoms:
Sn 0.0000 0.0000 0.0000
Sn 0.3115 0.4977 0.4975
I 0.4234 0.8381 0.5020
I 0.4293 0.3344 0.2917
I 0.4313 0.3240 0.6992
I 0.8815 0.8291 0.7977
I 0.8820 0.8352 0.2055
I 0.8870 0.3408 0.9962
Cl 0.3397 0.9968 0.9987
Cl 0.9718 0.4959 0.4990

***

3.
## SnI2Cl (PBE-GGA)

Data for crystalline SnI2Cl at its relaxed geometry.

## Properties
- E above lowest polymorph (meV/atom) = 291

abc: 5.5374 5.5374 5.5374
angles: 60.00 60.00 60.00
Fractional coordinates of all 4 atoms:
Sn 0.0000 0.0000 0.0000
I 0.2500 0.2500 0.2500
I 0.7500 0.7500 0.7500
Cl 0.5000 0.5000 0.5000

***

4.
## SnICl (PBE-GGA)

Data for crystalline SnICl at its relaxed geometry.

abc: 4.4293 4.4293 6.9296
angles: 90.00 90.00 120.00
Fractional coordinates of all 3 atoms:
Sn 0.0000 0.0000 0.0000
I 0.6667 0.3333 0.2781
Cl 0.3333 0.6667 0.7999

***

5.
## SnI2Cl (PBE-GGA)

Data for crystalline SnI2Cl at its relaxed geometry.

## Properties
- E above lowest polymorph (meV/atom) = 0

abc: 8.2049 8.2049 8.2049
angles: 96.09 96.09 141.97
Fractional coordinates of all 8 atoms:
Sn 0.0000 0.0000 0.0000
Sn 0.7500 0.2500 0.5000
I 0.3750 0.2352 0.3602
I 0.7648 0.1250 0.1398
I 0.8750 0.0148 0.6398
I 0.9852 0.6250 0.8602
Cl 0.2500 0.7500 0.5000
Cl 0.5000 0.5000 0.0000

***

6.
## SnICl (PBE-GGA)

Data for crystalline SnICl at its relaxed geometry.

abc: 8.9474 4.3697 10.9381
angles: 90.00 90.00 90.00
Fractional coordinates of all 12 atoms:
Sn 0.1163 0.2500 0.1490
Sn 0.3837 0.7500 0.6490
Sn 0.6163 0.2500 0.3510
Sn 0.8837 0.7500 0.8510
I 0.0136 0.2500 0.6817
I 0.4864 0.7500 0.1817
I 0.5136 0.2500 0.8183
I 0.9864 0.7500 0.3183
Cl 0.1470 0.7500 0.9568
Cl 0.3530 0.2500 0.4568
Cl 0.6470 0.7500 0.5432
Cl 0.8530 0.2500 0.0432

***

7.
## Sn2I3Cl (PBE-GGA)

Data for crystalline Sn2I3Cl at its relaxed geometry.

abc: 9.4238 9.4238 12.8532
angles: 117.54 117.54 27.96
Fractional coordinates of all 12 atoms:
Sn 0.1164 0.1164 0.4405
Sn 0.3675 0.3675 0.1755
Sn 0.6325 0.6325 0.8245
Sn 0.8836 0.8836 0.5595
I 0.1503 0.1503 0.0042
I 0.2652 0.2652 0.3768
I 0.4469 0.4469 0.7631
I 0.5531 0.5531 0.2369
I 0.7348 0.7348 0.6232
I 0.8497 0.8497 0.9958
Cl 0.0721 0.0721 0.6518
Cl 0.9279 0.9279 0.3482

***

8.
## Sn7I12Cl (PBE-GGA)

Data for crystalline Sn7I12Cl at its relaxed geometry.

abc: 10.3050 10.3050 10.3050
angles: 108.20 108.20 108.20
Fractional coordinates of all 20 atoms:
Sn 0.0000 0.0000 0.0000
Sn 0.1585 0.3954 0.4679
Sn 0.3954 0.4679 0.1585
Sn 0.4679 0.1585 0.3954
Sn 0.5321 0.8415 0.6046
Sn 0.6046 0.5321 0.8415
Sn 0.8415 0.6046 0.5321
I 0.0488 0.3475 0.1298
I 0.1298 0.0488 0.3475
I 0.1762 0.7229 0.5709
I 0.2771 0.4291 0.8238
I 0.3475 0.1298 0.0488
I 0.4291 0.8238 0.2771
I 0.5709 0.1762 0.7229
I 0.6525 0.8702 0.9512
I 0.7229 0.5709 0.1762
I 0.8238 0.2771 0.4291
I 0.8702 0.9512 0.6525
I 0.9512 0.6525 0.8702
Cl 0.5000 0.5000 0.5000

***

9.
## Sn4I3Cl4 (PBE-GGA)

Data for crystalline Sn4I3Cl4 at its relaxed geometry.

abc: 9.8380 9.8380 9.8380
angles: 156.04 119.17 66.35
Fractional coordinates of all 11 atoms:
Sn 0.2276 0.2276 0.0000
Sn 0.2617 0.5000 0.7617
Sn 0.7383 0.5000 0.2383
Sn 0.7724 0.7724 0.0000
I 0.0000 0.0000 0.0000
I 0.3843 0.8843 0.5000
I 0.6157 0.1157 0.5000
Cl 0.0146 0.3315 0.6831
Cl 0.3516 0.6685 0.6831
Cl 0.6484 0.3315 0.3169
Cl 0.9854 0.6685 0.3169

***

10.
## Sn3I4Cl2 (PBE-GGA)

Data for crystalline Sn3I4Cl2 at its relaxed geometry.

abc: 4.2910 4.2910 23.5144
angles: 90.00 90.00 120.00
Fractional coordinates of all 9 atoms:
Sn 0.0000 0.0000 0.0000
Sn 0.0000 0.0000 0.3410
Sn 0.6667 0.3333 0.6855
I 0.0000 0.0000 0.5978
I 0.0000 0.0000 0.7731
I 0.6667 0.3333 0.2534
I 0.6667 0.3333 0.4287
Cl 0.6667 0.3333 0.0694
Cl 0.6667 0.3333 0.9307

***

11.
## Sn2ICl3 (PBE-GGA)

Data for crystalline Sn2ICl3 at its relaxed geometry.

## Properties
- E above lowest polymorph (meV/atom) = 29

abc: 8.2261 4.4269 12.5591
angles: 90.00 95.31 90.00
Fractional coordinates of all 12 atoms:
Sn 0.0208 0.2500 0.3496
Sn 0.3141 0.2500 0.1085
Sn 0.6859 0.7500 0.8915
Sn 0.9792 0.7500 0.6504
I 0.0143 0.7500 0.1485
I 0.9857 0.2500 0.8515
Cl 0.1549 0.2500 0.5586
Cl 0.3421 0.2500 0.3187
Cl 0.4810 0.2500 0.8778
Cl 0.5190 0.7500 0.1222
Cl 0.6579 0.7500 0.6813
Cl 0.8451 0.7500 0.4414

***

12.
## SnICl (PBE-GGA)

Data for crystalline SnICl at its relaxed geometry.

abc: 7.1250 7.1250 8.0846
angles: 98.73 98.73 36.28
Fractional coordinates of all 6 atoms:
Sn 0.2426 0.2426 0.2688
Sn 0.7574 0.7574 0.7312
I 0.1193 0.1193 0.8410
I 0.8807 0.8807 0.1590
Cl 0.3573 0.3573 0.5684
Cl 0.6427 0.6427 0.4316

***

Number 1: total energy -8.711 eV per cell. Number 2: total energy -25.993 eV per cell. Number 3: total energy -9.376 eV per cell. Number 4: total energy -9.607 eV per cell. Number 5: total energy -21.082 eV per cell. Number 6: total energy -38.499 eV per cell. Number 7: total energy -36.289 eV per cell. Number 8: total energy -57.792 eV per cell. Number 9: total energy -34.890 eV per cell. Number 10: total energy -26.951 eV per cell. Number 11: total energy -40.205 eV per cell. Number 12: total energy -19.253 eV per cell.